{"formula": "Rb3FeAg", "functional": "PBE", "state": "relaxed", "lattice": [[-3.9540, 2.0497, -5.0334], [4.5401, -2.1755, -4.4525], [-2.9872, -6.0197, -0.1047]], "species": ["Rb", "Rb", "Fe", "Ag", "Rb"], "fractional_positions": [[0.5000, 0.0000, 0.0000], [0.0000, 0.0000, 0.5000], [0.5000, 0.5000, 0.5000], [0.0000, 0.0000, 0.0000], [0.0000, 0.5000, 0.0000]], "formation_energy_kj_per_mol_fu": 406, "m_tot_mub_per_cell": 3.0, "e_tot_ev_per_atom": -2.002, "polymorph_energy_mev_per_atom": 0}